1.
# GGA-PBE AlOs3, relaxed
# SG   No. 166
# Density   17.10 g/cm³
# E_form   1.36 eV per formula unit
# N(E_F)   13.8 states/eV per cell
data_AlOs3
_symmetry_space_group_name_H-M 'P 1'
_symmetry_Int_Tables_number 1
_symmetry_space_group_name_Hall 'P 1'
_cell_length_a 8.521
_cell_length_b 8.521
_cell_length_c 2.768
_cell_angle_alpha 90.00
_cell_angle_beta 90.00
_cell_angle_gamma 120.00
loop_
_atom_site_label
_atom_site_type_symbol
_atom_site_fract_x
_atom_site_fract_y
_atom_site_fract_z
Al1 Al 0.000 0.000 0.000
Al2 Al 0.333 0.667 0.667
Al3 Al 0.667 0.333 0.333
Os1 Os 0.000 0.500 0.000
Os2 Os 0.167 0.333 0.333
Os3 Os 0.167 0.833 0.333
Os4 Os 0.333 0.167 0.667
Os5 Os 0.500 0.000 0.000
Os6 Os 0.500 0.500 0.000
Os7 Os 0.667 0.833 0.333
Os8 Os 0.833 0.167 0.667
Os9 Os 0.833 0.667 0.667

***

2.
# GGA-PBE TePdI, relaxed
# SG   No. 2
# Density   5.69 g/cm³
# ΔE_f (raw)   -0.880 eV/f.u.
# N(E_F)   3.2 states/eV per cell
data_TePdI
_symmetry_space_group_name_H-M 'P 1'
_symmetry_Int_Tables_number 1
_symmetry_space_group_name_Hall 'P 1'
_cell_length_a 3.960
_cell_length_b 5.607
_cell_length_c 9.686
_cell_angle_alpha 90.65
_cell_angle_beta 101.70
_cell_angle_gamma 90.00
loop_
_atom_site_label
_atom_site_type_symbol
_atom_site_fract_x
_atom_site_fract_y
_atom_site_fract_z
Te1 Te 0.217 0.249 0.433
Te2 Te 0.783 0.751 0.567
Pd1 Pd 0.190 0.748 0.378
Pd2 Pd 0.810 0.252 0.622
I1 I 0.410 0.257 0.822
I2 I 0.590 0.743 0.178